Entry 1:
Density functional theory data (PBE) for a geometry-optimized RbBaI2 structure.

SG: P4/mmm (123)
Crystal system: tetragonal
ΔE to the lowest computed polymorph in kJ/mol of formula units: 15.8

Cell: 4.340 4.340 8.956 Å, 90.00 90.00 90.00°
Fractional coordinates of all 4 atoms:
Ba (0.500, 0.500, 0.000)
I (0.000, 0.000, 0.767)
I (0.000, 0.000, 0.233)
Rb (0.500, 0.500, 0.500)

=====

Entry 2:
Density functional theory data (PBE) for a geometry-optimized RbBa3I structure.

SG: Pm-3m (221)
Crystal system: cubic
ΔE to the lowest computed polymorph in kJ/mol of formula units: 326.8

Cell: 7.204 7.204 7.204 Å, 90.00 90.00 90.00°
Fractional coordinates of all 5 atoms:
Ba (0.500, 0.000, 0.000)
Ba (0.000, 0.500, 0.000)
Ba (0.000, 0.000, 0.500)
Rb (0.000, 0.000, 0.000)
I (0.500, 0.500, 0.500)

=====

Entry 3:
Density functional theory data (PBE) for a geometry-optimized RbBa3I structure.

SG: Pm-3m (221)
Crystal system: cubic
ΔE to the lowest computed polymorph in kJ/mol of formula units: 0.0

Cell: 6.912 6.912 6.912 Å, 90.00 90.00 90.00°
Fractional coordinates of all 5 atoms:
Ba (0.500, 0.000, 0.000)
Ba (0.000, 0.500, 0.000)
Ba (0.000, 0.000, 0.500)
I (0.000, 0.000, 0.000)
Rb (0.500, 0.500, 0.500)

=====

Entry 4:
Density functional theory data (PBE) for a geometry-optimized Rb2BaI structure.

SG: P4/mmm (123)
Crystal system: tetragonal
ΔE to the lowest computed polymorph in kJ/mol of formula units: 0.0

Cell: 4.471 4.471 12.268 Å, 90.00 90.00 90.00°
Fractional coordinates of all 4 atoms:
I (0.500, 0.500, 0.000)
Rb (0.000, 0.000, 0.178)
Rb (0.000, 0.000, 0.822)
Ba (0.500, 0.500, 0.500)

=====

Entry 5:
Density functional theory data (PBE) for a geometry-optimized Rb4BaI6 structure.

SG: R-3c (167)
Crystal system: trigonal

Cell: 10.454 10.454 10.454 Å, 89.98 89.98 90.02°
Fractional coordinates of all 22 atoms:
I (0.312, 0.942, 0.923)
I (0.812, 0.577, 0.558)
I (0.923, 0.688, 0.942)
I (0.577, 0.442, 0.188)
I (0.688, 0.058, 0.077)
I (0.188, 0.423, 0.442)
I (0.423, 0.558, 0.812)
I (0.077, 0.312, 0.058)
I (0.058, 0.923, 0.312)
I (0.442, 0.812, 0.423)
I (0.942, 0.077, 0.688)
I (0.558, 0.188, 0.577)
Rb (0.250, 0.250, 0.750)
Rb (0.629, 0.871, 0.750)
Rb (0.750, 0.371, 0.871)
Rb (0.250, 0.629, 0.129)
Rb (0.750, 0.750, 0.250)
Rb (0.129, 0.750, 0.629)
Rb (0.871, 0.250, 0.371)
Rb (0.371, 0.129, 0.250)
Ba (0.000, 0.000, 0.000)
Ba (0.500, 0.500, 0.500)

=====

Entry 6:
Density functional theory data (PBE) for a geometry-optimized RbBa2I5 structure.

SG: P2_1/c (14)
Crystal system: monoclinic
ΔE to the lowest computed polymorph in kJ/mol of formula units: 0.0

Cell: 9.405 10.562 15.142 Å, 89.99 90.00 90.00°
Fractional coordinates of all 32 atoms:
Ba (0.926, 0.251, 0.993)
Ba (0.476, 0.998, 0.821)
Ba (0.074, 0.749, 0.007)
Ba (0.574, 0.251, 0.493)
Ba (0.024, 0.998, 0.321)
Ba (0.426, 0.749, 0.507)
Ba (0.524, 0.002, 0.179)
Ba (0.976, 0.002, 0.679)
I (0.830, 0.782, 0.183)
I (0.170, 0.218, 0.817)
I (0.457, 0.779, 0.002)
I (0.195, 0.768, 0.782)
I (0.162, 0.041, 0.100)
I (0.332, 0.461, 0.593)
I (0.168, 0.461, 0.093)
I (0.695, 0.232, 0.718)
I (0.832, 0.539, 0.907)
I (0.543, 0.221, 0.998)
I (0.668, 0.539, 0.407)
I (0.662, 0.959, 0.400)
I (0.838, 0.959, 0.900)
I (0.957, 0.221, 0.498)
I (0.305, 0.768, 0.282)
I (0.670, 0.782, 0.683)
I (0.330, 0.218, 0.317)
I (0.338, 0.041, 0.600)
I (0.805, 0.232, 0.218)
I (0.043, 0.779, 0.502)
Rb (0.039, 0.492, 0.328)
Rb (0.961, 0.508, 0.672)
Rb (0.539, 0.508, 0.172)
Rb (0.461, 0.492, 0.828)

=====

Entry 7:
Density functional theory data (PBE) for a geometry-optimized Rb2BaI structure.

SG: Fm-3m (225)
Crystal system: cubic
ΔE to the lowest computed polymorph in kJ/mol of formula units: 144.4

Cell: 7.211 7.211 7.211 Å, 60.00 60.00 60.00°
Fractional coordinates of all 4 atoms:
I (0.000, 0.000, 0.000)
Rb (0.250, 0.250, 0.250)
Rb (0.750, 0.750, 0.750)
Ba (0.500, 0.500, 0.500)

=====

Entry 8:
Density functional theory data (PBE) for a geometry-optimized RbBaI2 structure.

SG: Fm-3m (225)
Crystal system: cubic
ΔE to the lowest computed polymorph in kJ/mol of formula units: 51.3

Cell: 6.197 6.197 6.197 Å, 60.00 60.00 60.00°
Fractional coordinates of all 4 atoms:
Rb (0.000, 0.000, 0.000)
I (0.250, 0.250, 0.250)
I (0.750, 0.750, 0.750)
Ba (0.500, 0.500, 0.500)

=====

Entry 9:
Density functional theory data (PBE) for a geometry-optimized Rb2Ba3I8 structure.

SG: C2/m (12)
Crystal system: monoclinic

Cell: 8.813 10.444 10.444 Å, 59.57 72.97 72.97°
Fractional coordinates of all 13 atoms:
I (0.066, 0.615, 0.615)
I (0.400, 0.657, 0.110)
I (0.600, 0.890, 0.343)
I (0.400, 0.110, 0.657)
I (0.086, 0.108, 0.108)
I (0.914, 0.892, 0.892)
I (0.934, 0.385, 0.385)
I (0.600, 0.343, 0.890)
Ba (0.000, 0.741, 0.259)
Ba (0.500, 0.000, 0.000)
Ba (0.000, 0.259, 0.741)
Rb (0.651, 0.271, 0.271)
Rb (0.349, 0.729, 0.729)

=====

Entry 10:
Density functional theory data (PBE) for a geometry-optimized RbBaI2 structure.

SG: R3m (160)
Crystal system: trigonal
ΔE to the lowest computed polymorph in kJ/mol of formula units: 4.3

Cell: 4.697 4.697 10.246 Å, 76.75 76.75 60.00°
Fractional coordinates of all 4 atoms:
Ba (0.667, 0.667, 0.998)
I (0.082, 0.082, 0.753)
I (0.252, 0.252, 0.245)
Rb (0.499, 0.499, 0.503)

=====

Entry 11:
Density functional theory data (PBE) for a geometry-optimized Rb2BaI4 structure.

SG: C2/m (12)
Crystal system: monoclinic
ΔE to the lowest computed polymorph in kJ/mol of formula units: 0.0

Cell: 5.188 9.640 10.035 Å, 125.31 104.98 90.00°
Fractional coordinates of all 7 atoms:
I (0.642, 0.266, 0.284)
I (0.893, 0.182, 0.787)
I (0.107, 0.818, 0.213)
I (0.358, 0.734, 0.716)
Rb (0.698, 0.712, 0.396)
Rb (0.302, 0.288, 0.604)
Ba (0.000, 0.000, 0.000)

=====

Entry 12:
Density functional theory data (PBE) for a geometry-optimized Rb2BaI4 structure.

SG: I4/mmm (139)
Crystal system: tetragonal
ΔE to the lowest computed polymorph in kJ/mol of formula units: 41.9

Cell: 6.739 6.739 10.604 Å, 108.53 108.53 90.00°
Fractional coordinates of all 7 atoms:
I (0.178, 0.178, 0.357)
I (0.822, 0.822, 0.643)
I (0.500, 0.000, 0.000)
I (0.000, 0.500, 0.000)
Rb (0.364, 0.364, 0.728)
Rb (0.636, 0.636, 0.272)
Ba (0.000, 0.000, 0.000)

=====

Size of the total moment list, top to bottom, in Bohr magnetons per cell: 0.49; 3.92; 2.28; 0.58; 0.00; 0.00; 0.00; 0.82; 0.00; 0.61; 0.00; 0.00
DOS(E_F) list, top to bottom, in states/eV per cell: 2.154; 4.968; 8.713; 3.115; 0.000; 0.000; 6.720; 3.785; 0.000; 1.493; 0.000; 0.000
Formation energy (no corrections) list, top to bottom, in eV per atom: -1.301; 0.374; -0.303; -0.603; -1.552; -1.726; -0.229; -1.208; -1.684; -1.330; -1.592; -1.530